A plane-wave DFT calculation with PBE-GGA was carried out for a relaxed structure of InSn3Ru.

Calculated values
Space group: No. 221
Energy of formation: 0.6 eV per formula unit
E above lowest polymorph: 0.000 eV/atom

abc: 5.156 5.156 5.156
angles: 90.00 90.00 90.00
Fractional coordinates of all 5 atoms:
1 In 0.000 0.000 0.000
2 Sn 0.000 0.500 0.500
3 Sn 0.500 0.000 0.500
4 Sn 0.500 0.500 0.000
5 Ru 0.500 0.500 0.500